# 1
This record from Alexandria via LeMat-Bulk describes a relaxed structure of ScFeSn2. The functional is PBE.

a b c (Å): 4.790 4.790 4.790
angles (deg): 60.00 60.00 60.00
Element x y z (fractional)
1 Sc 0.000 0.000 0.000
2 Fe 0.500 0.500 0.500
3 Sn 0.250 0.250 0.250
4 Sn 0.750 0.750 0.750

Summary:
ΔH_f (0 K) = -16 meV/atom
density of states at the Fermi level = 2.34 states/eV per cell
space group = Fm-3m, No. 225
total magnetic moment = 1.2 μB per formula unit
electronic total energy = -5.72 eV/atom

# 2
This record from Alexandria via LeMat-Bulk describes a relaxed structure of Li3Tc. The functional is PBE.

a b c (Å): 5.805 5.805 3.881
angles (deg): 90.00 90.00 84.35
Element x y z (fractional)
1 Li 0.118 0.374 0.750
2 Li 0.151 0.849 0.750
3 Li 0.374 0.118 0.250
4 Li 0.626 0.882 0.750
5 Li 0.849 0.151 0.250
6 Li 0.882 0.626 0.250
7 Tc 0.418 0.582 0.250
8 Tc 0.582 0.418 0.750

Summary:
ΔH_f (0 K) = 209 meV/atom
E above lowest polymorph = 51.3 meV per atom
density of states at the Fermi level = 3.15 states/eV per cell
space group = Cmcm, No. 63
total magnetic moment = 0.0 μB per formula unit
electronic total energy = -3.82 eV/atom

# 3
This record from Alexandria via LeMat-Bulk describes a relaxed structure of Ac2PrThBi5. The functional is PBE.

a b c (Å): 5.767 5.767 12.281
angles (deg): 90.00 90.00 90.00
Element x y z (fractional)
1 Ac 0.000 0.000 0.218
2 Ac 0.000 0.000 0.782
3 Pr 0.500 0.500 0.500
4 Th 0.500 0.500 0.000
5 Bi 0.000 0.000 0.500
6 Bi 0.000 0.500 0.000
7 Bi 0.500 0.000 0.000
8 Bi 0.500 0.500 0.254
9 Bi 0.500 0.500 0.746

Summary:
ΔH_f (0 K) = -195 meV/atom
density of states at the Fermi level = 6.71 states/eV per cell
space group = P4/mmm, No. 123
total magnetic moment = 0.0 μB per formula unit
electronic total energy = -4.62 eV/atom

# 4
This record from Alexandria via LeMat-Bulk describes a relaxed structure of Er2Si3Au5. The functional is PBE.

a b c (Å): 12.399 12.399 7.054
angles (deg): 90.00 90.00 159.80
Element x y z (fractional)
1 Er 0.020 0.980 0.500
2 Er 0.326 0.674 0.478
3 Er 0.674 0.326 0.978
4 Er 0.980 0.020 0.000
5 Si 0.105 0.895 0.802
6 Si 0.271 0.729 0.944
7 Si 0.453 0.547 0.707
8 Si 0.547 0.453 0.207
9 Si 0.729 0.271 0.444
10 Si 0.895 0.105 0.302
11 Au 0.100 0.900 0.162
12 Au 0.197 0.803 0.655
13 Au 0.217 0.783 0.248
14 Au 0.377 0.623 0.960
15 Au 0.448 0.552 0.306
16 Au 0.552 0.448 0.806
17 Au 0.623 0.377 0.460
18 Au 0.783 0.217 0.748
19 Au 0.803 0.197 0.155
20 Au 0.900 0.100 0.662

Summary:
formation energy from raw total energies = -0.53 eV per atom
density of states at the Fermi level = 3.54 states/eV per cell
space group = Cmc2_1, No. 36
total magnetic moment = 0.0 μB per formula unit
electronic total energy = -4.71 eV/atom

# 5
This record from Alexandria via LeMat-Bulk describes a relaxed structure of RbINO2. The functional is PBE.

a b c (Å): 5.357 5.357 7.533
angles (deg): 90.00 90.00 90.00
Element x y z (fractional)
1 Rb 0.000 0.000 0.000
2 I 0.000 0.000 0.500
3 N 0.500 0.500 0.500
4 O 0.000 0.500 0.000
5 O 0.500 0.000 0.000

Summary:
formation energy from raw total energies = 1.59 eV per atom
density of states at the Fermi level = 10.42 states/eV per cell
space group = P4/mmm, No. 123
total magnetic moment = 5.6 μB per formula unit
electronic total energy = -2.56 eV/atom

# 6
This record from Alexandria via LeMat-Bulk describes a relaxed structure of CaY2SnH. The functional is PBE.

a b c (Å): 5.854 5.854 5.488
angles (deg): 90.00 90.00 90.00
Element x y z (fractional)
1 Ca 0.000 0.000 0.000
2 Y 0.000 0.500 0.000
3 Y 0.500 0.000 0.000
4 Sn 0.000 0.000 0.500
5 H 0.500 0.500 0.500

Summary:
E above lowest polymorph = 1728.4 meV per atom
density of states at the Fermi level = 6.33 states/eV per cell
space group = P4/mmm, No. 123
total magnetic moment = 0.3 μB per formula unit
electronic total energy = -3.16 eV/atom

# 7
This record from Alexandria via LeMat-Bulk describes a relaxed structure of Ca2AgF6. The functional is PBE.

a b c (Å): 6.876 6.876 6.876
angles (deg): 147.76 132.98 58.16
Element x y z (fractional)
1 Ca 0.170 0.170 0.000
2 Ca 0.830 0.830 0.000
3 Ag 0.500 0.500 0.000
4 F 0.079 0.331 0.748
5 F 0.254 0.000 0.254
6 F 0.418 0.669 0.748
7 F 0.582 0.331 0.252
8 F 0.746 0.000 0.746
9 F 0.921 0.669 0.252

Summary:
formation energy from raw total energies = -2.95 eV per atom
E above lowest polymorph = 0.0 meV per atom
density of states at the Fermi level = 5.50 states/eV per cell
space group = Immm, No. 71
total magnetic moment = 1.0 μB per formula unit
electronic total energy = -4.96 eV/atom

# 8
This record from Alexandria via LeMat-Bulk describes a relaxed structure of SrMnS2. The functional is PBE.

a b c (Å): 4.679 4.679 4.679
angles (deg): 60.00 60.00 60.00
Element x y z (fractional)
1 Sr 0.000 0.000 0.000
2 Mn 0.500 0.500 0.500
3 S 0.250 0.250 0.250
4 S 0.750 0.750 0.750

Summary:
formation energy from raw total energies = -0.26 eV per atom
E above lowest polymorph = 1046.8 meV per atom
density of states at the Fermi level = 8.62 states/eV per cell
space group = Fm-3m, No. 225
total magnetic moment = 0.0 μB per formula unit
electronic total energy = -5.04 eV/atom

# 9
This record from Alexandria via LeMat-Bulk describes a relaxed structure of ReBiSbS2. The functional is PBE.

a b c (Å): 5.086 5.086 6.003
angles (deg): 90.00 90.00 90.00
Element x y z (fractional)
1 Re 0.000 0.000 0.000
2 Bi 0.500 0.500 0.500
3 Sb 0.500 0.500 0.000
4 S 0.000 0.500 0.500
5 S 0.500 0.000 0.500

Summary:
formation energy from raw total energies = 1.63 eV per atom
density of states at the Fermi level = 3.85 states/eV per cell
space group = P4/mmm, No. 123
total magnetic moment = 3.9 μB per formula unit
electronic total energy = -4.11 eV/atom

# 10
This record from Alexandria via LeMat-Bulk describes a relaxed structure of CeDy2Th. The functional is PBE.

a b c (Å): 5.643 5.643 5.643
angles (deg): 60.00 60.00 60.00
Element x y z (fractional)
1 Ce 0.000 0.000 0.000
2 Dy 0.250 0.250 0.250
3 Dy 0.750 0.750 0.750
4 Th 0.500 0.500 0.500

Summary:
ΔH_f (0 K) = 193 meV/atom
E above lowest polymorph = 145.0 meV per atom
density of states at the Fermi level = 11.09 states/eV per cell
space group = Fm-3m, No. 225
total magnetic moment = 0.8 μB per formula unit
electronic total energy = -5.45 eV/atom

# 11
This record from Alexandria via LeMat-Bulk describes a relaxed structure of LaErAgPb. The functional is PBE.

a b c (Å): 5.408 5.408 5.408
angles (deg): 60.00 60.00 60.00
Element x y z (fractional)
1 La 0.000 0.000 0.000
2 Er 0.500 0.500 0.500
3 Ag 0.250 0.250 0.250
4 Pb 0.750 0.750 0.750

Summary:
ΔH_f (0 K) = -400 meV/atom
density of states at the Fermi level = 3.69 states/eV per cell
space group = F-43m, No. 216
total magnetic moment = 0.7 μB per formula unit
electronic total energy = -4.41 eV/atom

# 12
This record from Alexandria via LeMat-Bulk describes a relaxed structure of La2Ho3Tm2. The functional is PBE.

a b c (Å): 6.153 6.153 10.746
angles (deg): 95.19 95.19 33.91
Element x y z (fractional)
1 La 0.215 0.215 0.354
2 La 0.785 0.785 0.646
3 Ho 0.359 0.359 0.932
4 Ho 0.500 0.500 0.500
5 Ho 0.641 0.641 0.068
6 Tm 0.070 0.070 0.790
7 Tm 0.930 0.930 0.210

Summary:
ΔH_f (0 K) = 26 meV/atom
E above lowest polymorph = 0.0 meV per atom
density of states at the Fermi level = 9.73 states/eV per cell
space group = C2/m, No. 12
total magnetic moment = 0.0 μB per formula unit
electronic total energy = -4.62 eV/atom

- Look up the total magnetic moment of the sixth one.
  0.3 μB per formula unit